(1)
# Si3Te2 (PBE-GGA, relaxed)
data_Si3Te2
_chemical_formula_sum 'Si24 Te16'
_space_group_name_H-M_alt 'F d d 2'
_space_group_IT_number 43
_space_group_name_Hall 'F 2 -2d'
_cell_length_a 11.583
_cell_length_b 12.881
_cell_length_c 6.443
_cell_angle_alpha 90.00
_cell_angle_beta 90.00
_cell_angle_gamma 90.00
loop_
_atom_site_label
_atom_site_fract_x
_atom_site_fract_y
_atom_site_fract_z
_atom_site_occupancy
Si1 0.000 0.000 0.000 1
Si2 0.089 0.170 0.070 1
Te1 0.077 0.202 0.672 1
# DOS(E_F) ... 2.0 states/eV per cell
# Spin magnetization ... 0.00 Bohr magnetons per cell



(2)
# Si5Te (PBE-GGA, relaxed)
data_Si5Te
_chemical_formula_sum 'Si10 Te2'
_space_group_name_H-M_alt 'A m m 2'
_space_group_IT_number 38
_cell_length_a 3.650
_cell_length_b 3.585
_cell_length_c 16.956
_cell_angle_alpha 90.00
_cell_angle_beta 90.00
_cell_angle_gamma 90.00
loop_
_space_group_symop_operation_xyz
'x,y,z'
'-x,-y,z'
'-x,y,z'
'x,-y,z'
'x,y+1/2,z+1/2'
'-x,-y+1/2,z+1/2'
'-x,y+1/2,z+1/2'
'x,-y+1/2,z+1/2'
loop_
_atom_site_label
_atom_site_fract_x
_atom_site_fract_y
_atom_site_fract_z
_atom_site_occupancy
Si1 0.000 0.000 0.000 1
Si2 0.000 0.000 0.270 1
Si3 0.000 0.000 0.666 1
Si4 0.500 0.000 0.164 1
Si5 0.500 0.000 0.554 1
Te1 0.500 0.000 0.878 1
# DOS(E_F) ... 3.9 states/eV per cell
# Spin magnetization ... 0.00 Bohr magnetons per cell



(3)
# Si5Te (PBE-GGA, relaxed)
data_Si5Te
_chemical_formula_sum 'Si10 Te2'
_space_group_name_H-M_alt 'C m m m'
_space_group_IT_number 65
_space_group_name_Hall '-C 2 2'
_cell_length_a 4.807
_cell_length_b 11.148
_cell_length_c 4.712
_cell_angle_alpha 90.00
_cell_angle_beta 90.00
_cell_angle_gamma 90.00
loop_
_atom_site_label
_atom_site_fract_x
_atom_site_fract_y
_atom_site_fract_z
_atom_site_occupancy
Si1 0.000 0.000 0.000 1
Si2 0.000 0.212 0.000 1
Si3 0.000 0.256 0.500 1
Te1 0.000 0.500 0.500 1
# DOS(E_F) ... 4.7 states/eV per cell
# Spin magnetization ... 0.00 Bohr magnetons per cell



Formation energy from raw total energies: 0.17, 0.45, 0.45 (eV/atom)
E: -4.3371, -4.5929, -4.5962 (eV/atom)